1.
DFT (SCAN) results for a PBEsol-optimized structure of Sm2Ti2S2O5.

Computed properties:
* E: -18.77 eV/atom
* symmetry: I4/mmm
* crystal system: tetragonal
* formation energy from raw total energies: -35.093 eV per formula unit

POSCAR file:
```
Sm2Ti2S2O5
1.0
3.805 0.000 0.000
0.000 3.805 0.000
-1.902 -1.902 11.421
S O Sm Ti
2 5 2 2
Direct
0.795 0.795 0.591
0.205 0.205 0.409
0.000 0.000 0.000
0.402 0.902 0.803
0.098 0.598 0.197
0.902 0.402 0.803
0.598 0.098 0.197
0.667 0.667 0.333
0.333 0.333 0.667
0.921 0.921 0.842
0.079 0.079 0.158
```

2.
DFT (SCAN) results for a PBEsol-optimized structure of Al2Cu.

Computed properties:
* DOS(E_F): 1.0 states/eV per cell
* E: -10.28 eV/atom
* symmetry: I4/mmm
* crystal system: tetragonal
* calculated formation energy: -0.0505 eV per atom

POSCAR file:
```
Al2Cu
1.0
3.408 0.000 0.000
0.000 3.408 0.000
-1.704 -1.704 3.797
Al Cu
2 1
Direct
0.666 0.666 0.331
0.334 0.334 0.669
0.000 0.000 0.000
```

Across the entries above, total magnetic moment takes the values 0.000, 0.003 μB/cell, respectively.